# Ac2Mg3Cd4In (PBE, relaxed)
# ΔH_f (0 K)   -239 meV per atom
# E   -21.8 eV for the cell shown
# Density   6.605 g cm⁻³
data_Ac2Mg3Cd4In
_chemical_formula_sum 'Ac2 Mg3 Cd4 In1'
_cell_length_a 4.766
_cell_length_b 4.766
_cell_length_c 12.078
_cell_angle_alpha 90.00
_cell_angle_beta 90.00
_cell_angle_gamma 90.00
_symmetry_space_group_name_H-M 'P -4 m 2'
_symmetry_Int_Tables_number 115
loop_
_symmetry_equiv_pos_as_xyz
'x,y,z'
'y,-x,-z'
'-x,-y,z'
'-y,x,-z'
'-x,y,z'
'-y,-x,-z'
'x,-y,z'
'y,x,-z'
loop_
_atom_site_label
_atom_site_type_symbol
_atom_site_fract_x
_atom_site_fract_y
_atom_site_fract_z
Ac1 Ac 0.000 0.500 0.250
Mg1 Mg 0.000 0.000 0.000
Mg2 Mg 0.000 0.500 0.631
Cd1 Cd 0.000 0.000 0.500
Cd2 Cd 0.000 0.500 0.860
Cd3 Cd 0.500 0.500 0.500
In1 In 0.500 0.500 0.000